{
  "formula": "PmTlFe",
  "functional": "PBE",
  "state": "optimized geometry",
  "lattice": [[-4.6951, -0.6363, 0.0391], [-2.8979, 3.7074, -0.5548], [-2.4896, 0.4829, -4.0024]],
  "species": ["Fe", "Pm", "Tl"],
  "frac_coords": [[0.0000, 0.0000, 0.0000], [0.2500, 0.2500, 0.2500], [0.7500, 0.7500, 0.7500]],
  "sg": "No. 216",
  "e_above_lowest_polymorph_mev_per_atom": 0
}


{
  "formula": "NbAsO4",
  "functional": "PBE",
  "state": "optimized geometry",
  "lattice": [[-0.3173, 4.5853, 4.5688], [-5.6503, -1.9291, -2.5203], [2.4988, -3.9371, 1.7381]],
  "species": ["As", "As", "Nb", "Nb", "O", "O", "O", "O", "O", "O", "O", "O"],
  "frac_coords": [[0.8260, 0.1740, 0.2500], [0.1740, 0.8260, 0.7500], [0.4181, 0.5819, 0.2500], [0.5819, 0.4181, 0.7500], [0.4303, 0.8617, 0.1284], [0.7569, 0.6998, 0.2387], [0.3002, 0.2431, 0.2613], [0.1383, 0.5697, 0.3716], [0.8617, 0.4303, 0.6284], [0.6998, 0.7569, 0.7387], [0.2431, 0.3002, 0.7613], [0.5697, 0.1383, 0.8716]],
  "sg": "No. 15"
}


{
  "formula": "TaCuNiPb",
  "functional": "PBE",
  "state": "optimized geometry",
  "lattice": [[0.0000, 3.2183, 3.2183], [3.2183, 0.0000, 3.2183], [3.2183, 3.2183, 0.0000]],
  "species": ["Cu", "Ni", "Pb", "Ta"],
  "frac_coords": [[0.7500, 0.7500, 0.7500], [0.5000, 0.5000, 0.5000], [0.0000, 0.0000, 0.0000], [0.2500, 0.2500, 0.2500]],
  "sg": "No. 216",
  "e_above_lowest_polymorph_mev_per_atom": 124
}


{
  "formula": "PuMg3",
  "functional": "PBE",
  "state": "optimized geometry",
  "lattice": [[-6.2643, -2.1992, 0.4761], [4.9290, -3.3077, 3.0570], [-0.6764, 2.8243, 4.1466]],
  "species": ["Mg", "Mg", "Mg", "Mg", "Mg", "Mg", "Pu", "Pu"],
  "frac_coords": [[0.4960, 0.4921, 0.0000], [0.4832, 0.9763, 0.0000], [0.9930, 0.9763, 0.0000], [0.3373, 0.1745, 0.5000], [0.8403, 0.6904, 0.5000], [0.3501, 0.6904, 0.5000], [0.9792, 0.4583, 0.0000], [0.8542, 0.2083, 0.5000]],
  "sg": "No. 63"
}


{
  "formula": "DyGePO",
  "functional": "PBE",
  "state": "optimized geometry",
  "lattice": [[-2.0184, 2.6596, -2.2397], [-0.4865, -2.7803, -2.8631], [-7.6482, -2.5910, 3.8157]],
  "species": ["Dy", "Dy", "Ge", "Ge", "O", "O", "P", "P"],
  "frac_coords": [[0.2500, 0.2500, 0.1167], [0.7500, 0.7500, 0.8833], [0.7500, 0.2500, 0.5000], [0.2500, 0.7500, 0.5000], [0.7500, 0.2500, 0.0000], [0.2500, 0.7500, 0.0000], [0.7500, 0.7500, 0.3070], [0.2500, 0.2500, 0.6930]],
  "sg": "No. 129",
  "e_above_lowest_polymorph_mev_per_atom": 0
}


{
  "formula": "PrNi2B2",
  "functional": "PBE",
  "state": "optimized geometry",
  "lattice": [[1.0107, 0.4841, 6.5254], [-5.9145, -1.0348, 2.7902], [1.3255, -3.4466, -1.0559]],
  "species": ["B", "B", "B", "B", "Ni", "Ni", "Ni", "Ni", "Pr", "Pr"],
  "frac_coords": [[0.3213, 0.1166, 0.2209], [0.1166, 0.3213, 0.2209], [0.8834, 0.6787, 0.7791], [0.6787, 0.8834, 0.7791], [0.8738, 0.5672, 0.2198], [0.5672, 0.8738, 0.2198], [0.4328, 0.1262, 0.7802], [0.1262, 0.4328, 0.7802], [0.7510, 0.2490, 0.5000], [0.2490, 0.7510, 0.5000]],
  "sg": "No. 12"
}


{
  "formula": "UCd20Pd2",
  "functional": "PBE",
  "state": "optimized geometry",
  "lattice": [[-10.5765, 3.0976, 1.4822], [-5.7308, 4.4297, -8.4374], [-8.2084, -5.7772, -4.7855]],
  "species": ["Cd", "Cd", "Cd", "Cd", "Cd", "Cd", "Cd", "Cd", "Cd", "Cd", "Cd", "Cd", "Cd", "Cd", "Cd", "Cd", "Cd", "Cd", "Cd", "Cd", "Cd", "Cd", "Cd", "Cd", "Cd", "Cd", "Cd", "Cd", "Cd", "Cd", "Cd", "Cd", "Cd", "Cd", "Cd", "Cd", "Cd", "Cd", "Cd", "Cd", "Pd", "Pd", "Pd", "Pd", "U", "U"],
  "frac_coords": [[0.3878, 0.3878, 0.1122], [0.3878, 0.1122, 0.1122], [0.1122, 0.3878, 0.1122], [0.6250, 0.6250, 0.1250], [0.8622, 0.1378, 0.1378], [0.1378, 0.8622, 0.1378], [0.8622, 0.8622, 0.1378], [0.8253, 0.3032, 0.3032], [0.3032, 0.8253, 0.3032], [0.5684, 0.3032, 0.3032], [0.3032, 0.5684, 0.3032], [0.8253, 0.5684, 0.3032], [0.5684, 0.8253, 0.3032], [0.1122, 0.1122, 0.3878], [0.3878, 0.1122, 0.3878], [0.1122, 0.3878, 0.3878], [0.9468, 0.9468, 0.4247], [0.9468, 0.6816, 0.4247], [0.6816, 0.9468, 0.4247], [0.8253, 0.3032, 0.5684], [0.3032, 0.8253, 0.5684], [0.3032, 0.3032, 0.5684], [0.6250, 0.1250, 0.6250], [0.1250, 0.6250, 0.6250], [0.6250, 0.6250, 0.6250], [0.9468, 0.9468, 0.6816], [0.9468, 0.4247, 0.6816], [0.4247, 0.9468, 0.6816], [0.5684, 0.3032, 0.8253], [0.3032, 0.5684, 0.8253], [0.3032, 0.3032, 0.8253], [0.8622, 0.1378, 0.8622], [0.1378, 0.8622, 0.8622], [0.1378, 0.1378, 0.8622], [0.6816, 0.4247, 0.9468], [0.4247, 0.6816, 0.9468], [0.9468, 0.6816, 0.9468], [0.6816, 0.9468, 0.9468], [0.9468, 0.4247, 0.9468], [0.4247, 0.9468, 0.9468], [0.6250, 0.1250, 0.1250], [0.1250, 0.6250, 0.1250], [0.1250, 0.1250, 0.1250], [0.1250, 0.1250, 0.6250], [0.5000, 0.5000, 0.5000], [0.7500, 0.7500, 0.7500]],
  "ef_ev_per_atom": -0.067,
  "sg": "No. 227"
}


{
  "formula": "In2FeNiCl6",
  "functional": "PBE",
  "state": "optimized geometry",
  "lattice": [[0.0000, 4.8199, 4.8199], [4.8199, 0.0000, 4.8199], [4.8199, 4.8199, 0.0000]],
  "species": ["Cl", "Cl", "Cl", "Cl", "Cl", "Cl", "Fe", "In", "In", "Ni"],
  "frac_coords": [[0.7494, 0.2506, 0.2506], [0.2506, 0.7494, 0.2506], [0.7494, 0.7494, 0.2506], [0.2506, 0.2506, 0.7494], [0.7494, 0.2506, 0.7494], [0.2506, 0.7494, 0.7494], [0.0000, 0.0000, 0.0000], [0.2500, 0.2500, 0.2500], [0.7500, 0.7500, 0.7500], [0.5000, 0.5000, 0.5000]],
  "sg": "No. 225"
}


{
  "formula": "ZrSi",
  "functional": "PBE",
  "state": "optimized geometry",
  "lattice": [[5.2130, 0.0000, 0.0000], [0.0000, 11.1030, 0.0000], [0.0000, 0.0000, 5.0770]],
  "species": ["Si", "Si", "Si", "Si", "Si", "Si", "Si", "Si", "Zr", "Zr", "Zr", "Zr", "Zr", "Zr", "Zr", "Zr"],
  "frac_coords": [[0.0515, 0.5088, 0.0000], [0.4045, 0.6429, 0.0000], [0.4045, 0.8571, 0.0000], [0.0515, 0.9912, 0.0000], [0.2818, 0.0088, 0.5000], [0.9289, 0.1429, 0.5000], [0.9289, 0.3571, 0.5000], [0.2818, 0.4912, 0.5000], [0.5807, 0.0843, 0.0000], [0.0753, 0.2500, 0.0000], [0.5807, 0.4157, 0.0000], [0.8843, 0.7500, 0.0000], [0.4490, 0.2500, 0.5000], [0.7526, 0.5842, 0.5000], [0.2581, 0.7500, 0.5000], [0.7526, 0.9158, 0.5000]],
  "sg": "No. 59"
}


{
  "formula": "Tm3In3Ir2Pt",
  "functional": "PBE",
  "state": "optimized geometry",
  "lattice": [[7.5463, 0.0000, 0.0000], [-3.7731, 6.5353, 0.0000], [0.0000, 0.0000, 3.8520]],
  "species": ["In", "In", "In", "Ir", "Ir", "Pt", "Tm", "Tm", "Tm"],
  "frac_coords": [[0.2636, 0.0000, 0.5000], [0.0000, 0.2636, 0.5000], [0.7364, 0.7364, 0.5000], [0.6667, 0.3333, 0.5000], [0.3333, 0.6667, 0.5000], [0.0000, 0.0000, 0.0000], [0.5947, 0.0000, 0.0000], [0.4053, 0.4053, 0.0000], [0.0000, 0.5947, 0.0000]],
  "sg": "No. 189"
}


{
  "formula": "PmPdPt",
  "functional": "PBE",
  "state": "optimized geometry",
  "lattice": [[0.5795, 1.0405, 4.4977], [-2.3543, 3.5397, 1.8910], [-3.4189, -0.8410, 3.0416]],
  "species": ["Pd", "Pm", "Pt"],
  "frac_coords": [[0.2500, 0.2500, 0.2500], [0.7500, 0.7500, 0.7500], [0.0000, 0.0000, 0.0000]],
  "ef_ev_per_atom": -0.672,
  "sg": "No. 216",
  "e_above_lowest_polymorph_mev_per_atom": 0
}


{
  "formula": "ThHgPd",
  "functional": "PBE",
  "state": "optimized geometry",
  "lattice": [[0.0000, 3.3958, 3.3958], [3.3958, 0.0000, 3.3958], [3.3958, 3.3958, 0.0000]],
  "species": ["Hg", "Pd", "Th"],
  "frac_coords": [[0.2500, 0.2500, 0.2500], [0.0000, 0.0000, 0.0000], [0.7500, 0.7500, 0.7500]],
  "ef_ev_per_atom": -0.488,
  "sg": "No. 216"
}


no.,total energy (hartree per atom)
1,-0.1787
2,-0.2788
3,-0.2098
4,-0.1688
5,-0.2331
6,-0.2182
7,-0.0657
8,-0.1365
9,-0.2695
10,-0.2148
11,-0.2204
12,-0.1758